Record 1
First-principles (PBE-GGA) data for an optimized crystal structure of V3S, as listed in Alexandria via LeMat-Bulk.

a = 3.112 Å, b = 7.220 Å, c = 4.709 Å
α = 90.00°, β = 90.00°, γ = 90.00°
Space group Imm2 (No. 44)
Asymmetric unit:
1 V 0.000 0.000 0.000 x2
2 V 0.000 0.215 0.549 x4
3 S 0.000 0.500 0.868 x2

Values from the calculation:
Formation energy without anion corrections (eV/atom): -0.33
Energy relative to the lowest polymorph listed for this composition (meV/atom): 213

=====

Record 2
First-principles (PBE-GGA) data for an optimized crystal structure of VS, as listed in Alexandria via LeMat-Bulk.

a = 8.4445 Å, b = 8.4445 Å, c = 3.4731 Å
α = 90.00°, β = 90.00°, γ = 120.00°
Space group P6_3/m (No. 176)
Asymmetric unit:
1 V 0.1230 0.6390 0.2500 x6
2 S 0.0418 0.3393 0.2500 x6

Values from the calculation:
Formation energy without anion corrections (eV/atom): -0.75

=====

Record 3
First-principles (PBE-GGA) data for an optimized crystal structure of VS2, as listed in Alexandria via LeMat-Bulk.

a = 5.290 Å, b = 6.741 Å, c = 5.625 Å
α = 90.00°, β = 90.00°, γ = 90.00°
Space group Pbcn (No. 60)
Asymmetric unit:
1 V 0.000 0.095 0.250 x4
2 S 0.236 0.376 0.077 x8

Values from the calculation:
Formation energy without anion corrections (eV/atom): -0.77